# PrZnPbSe3

Crystalline PrZnPbSe3 at its relaxed geometry (PBE, OQMD via LeMat-Bulk).

The structure in extended XYZ format:
```
12
Lattice="5.975 3.350 2.208 -6.179 0.663 -3.631 -5.164 3.052 9.346" Properties=species:S:1:pos:R:3 pbc="T T T"
Pb 1.303 3.365 2.920
Pb -6.671 3.699 5.003
Pr -0.102 2.007 -0.711
Pr -2.684 3.532 3.961
Se -4.797 1.257 -2.155
Se -2.422 2.542 1.130
Se -6.669 2.364 1.235
Se 1.302 4.701 6.688
Se -2.945 4.523 6.793
Se -0.571 5.808 10.078
Zn -7.149 1.497 -1.140
Zn 1.781 5.568 9.063
```

## Properties
- magnetization (μB per cell) = 0.02
- symmetry = Cmcm (63)
- total DFT energy (no corrections) (eV/atom) = -4.298